Computed, not measured: a PBEsol-optimized structure of Ni2Mo at the SCAN level of DFT.

Cell: 4.641 4.641 4.641 Å, 60.00 60.00 60.00°
Each line ends with the local moment (μB).
Fractional positions:
Ni 0.125 0.125 0.625  -0.24
Ni 0.125 0.125 0.125  -0.24
Ni 0.625 0.125 0.125  -0.24
Ni 0.125 0.625 0.125  -0.24
Mo 0.750 0.750 0.750  -0.03
Mo 0.500 0.500 0.500  -0.03

Computed properties:
- Magnetic moment: 0.9 Bohr magnetons per cell
- Symmetry: Fd-3m (227)
- Energy relative to the elements: 15 meV/atom
- Offset from the most stable computed form: 0.16 eV per formula unit